# 1
# BaLiCoIr2

BaLiCoIr2 after structural relaxation (PBE, Alexandria via LeMat-Bulk).

- space group = P4/mmm, No. 123
- energy relative to the elements (meV/atom) = 2233

Unit cell a=5.1834 b=5.1834 c=4.9417 alpha=90.00 beta=90.00 gamma=90.00
Last column: nearest neighbours and their distance in Å.
Atoms (fractional coordinates):
Ir  0.0000  0.5000  0.0000  2 Ba 2.59
Ir  0.5000  0.0000  0.0000  2 Ba 2.59
Co  0.0000  0.0000  0.5000  2 Ba 2.47
Ba  0.0000  0.0000  0.0000  2 Co 2.47, 4 Ir 2.59
Li  0.5000  0.5000  0.5000  8 Ir 3.58, 4 Co 3.67

***

# 2
# BaCoIr2N

BaCoIr2N after structural relaxation (PBE, Alexandria via LeMat-Bulk).

- space group = P4/mmm, No. 123

Unit cell a=4.0187 b=5.4077 c=4.0187 alpha=90.00 beta=90.00 gamma=90.00
Last column: nearest neighbours and their distance in Å.
Atoms (fractional coordinates):
Ir  0.0000  0.0000  0.5000  2 N 2.01
Ir  0.5000  0.0000  0.0000  2 N 2.01
Co  0.5000  0.5000  0.5000  4 Ba 2.84
Ba  0.0000  0.5000  0.0000  2 N 2.70, 4 Co 2.84
N  0.0000  0.0000  0.0000  4 Ir 2.01

***

Summary of VASP energy in eV per cell
-17.50; -31.69
(order as listed above)